(i)
Material: LiTi2P3O12
Method: DFT, meta-GGA SCAN
State: single point on PBEsol structure

a b c (Å): 8.633 11.951 8.577
angles (deg): 90.00 90.00 90.00
Space group P2_12_12 (No. 18)
Asymmetric unit:
1 Li 0.027 0.180 0.462
2 Ti 0.211 0.387 0.497
3 Ti 0.218 0.121 0.000
4 P 0.000 0.000 0.716
5 P 0.000 0.500 0.210
6 P 0.141 0.647 0.646
7 P 0.141 0.857 0.144
8 O 0.022 0.320 0.588
9 O 0.029 0.167 0.101
10 O 0.093 0.922 0.603
11 O 0.099 0.576 0.110
12 O 0.103 0.426 0.316
13 O 0.105 0.075 0.812
14 O 0.151 0.655 0.822
15 O 0.151 0.848 0.325
16 O 0.179 0.528 0.588
17 O 0.191 0.973 0.088
18 O 0.238 0.226 0.430
19 O 0.249 0.269 0.926

Results
V in Å³/cell: 884.9
DOS(E_F) in states/eV/atom: 0.000

***

(ii)
Material: LiTi2P3O12
Method: DFT, meta-GGA SCAN
State: single point on PBEsol structure

a b c (Å): 8.627 8.587 11.937
angles (deg): 90.00 90.00 90.00
Space group Pna2_1 (No. 33)
Asymmetric unit:
1 Li 0.224 0.031 0.000
2 Ti 0.025 0.998 0.203
3 Ti 0.046 0.505 0.937
4 P 0.107 0.852 0.463
5 P 0.109 0.359 0.672
6 P 0.247 0.287 0.317
7 O 0.003 0.569 0.087
8 O 0.011 0.074 0.044
9 O 0.060 0.908 0.345
10 O 0.069 0.416 0.791
11 O 0.095 0.181 0.665
12 O 0.102 0.674 0.471
13 O 0.144 0.183 0.246
14 O 0.147 0.689 0.894
15 O 0.154 0.890 0.740
16 O 0.157 0.397 0.395
17 O 0.224 0.909 0.141
18 O 0.227 0.403 0.990

Results
V in Å³/cell: 884.3
DOS(E_F) in states/eV/atom: 0.000

***

Most stable structure: (ii)

***

(i)
Material: LiTi2P3O12
Method: DFT, meta-GGA SCAN
State: single point on PBEsol structure

a b c (Å): 8.588 11.960 8.623
angles (deg): 90.00 90.00 90.00
Space group Pca2_1 (No. 29)
Asymmetric unit:
1 Li 0.031 0.072 0.000
2 Ti 0.001 0.372 0.750
3 Ti 0.005 0.861 0.820
4 P 0.144 0.396 0.393
5 P 0.146 0.105 0.675
6 P 0.214 0.746 0.533
7 O 0.067 0.478 0.281
8 O 0.078 0.020 0.793
9 O 0.087 0.276 0.350
10 O 0.089 0.220 0.720
11 O 0.090 0.071 0.509
12 O 0.099 0.419 0.562
13 O 0.106 0.828 0.624
14 O 0.108 0.673 0.434
15 O 0.174 0.096 0.177
16 O 0.180 0.401 0.876
17 O 0.185 0.676 0.138
18 O 0.186 0.824 0.928

Results
V in Å³/cell: 885.7
DOS(E_F) in states/eV/atom: 0.000

***

(ii)
Material: LiTi2P3O12
Method: DFT, meta-GGA SCAN
State: single point on PBEsol structure

a b c (Å): 14.695 8.554 8.502
angles (deg): 90.00 124.85 90.00
Space group C2 (No. 5)
Asymmetric unit:
1 Li 0.249 0.000 0.249
2 Ti 0.109 0.001 0.391
3 Ti 0.109 0.501 0.891
4 P 0.000 0.710 0.500
5 P 0.000 0.792 0.000
6 P 0.145 0.147 0.791
7 P 0.145 0.356 0.291
8 O 0.033 0.095 0.747
9 O 0.033 0.408 0.247
10 O 0.060 0.688 0.939
11 O 0.060 0.814 0.439
12 O 0.089 0.607 0.665
13 O 0.089 0.896 0.165
14 O 0.154 0.094 0.627
15 O 0.154 0.408 0.127
16 O 0.159 0.177 0.306
17 O 0.159 0.325 0.806
18 O 0.235 0.072 0.983
19 O 0.236 0.431 0.483

Results
V in Å³/cell: 877.0
DOS(E_F) in states/eV/atom: 0.000

***

(iii)
Material: LiTi2P3O12
Method: DFT, meta-GGA SCAN
State: single point on PBEsol structure

a b c (Å): 8.348 8.370 8.850
angles (deg): 117.88 90.19 119.82
Space group P1 (No. 1)
Asymmetric unit:
1 Li 0.000 0.000 0.000
2 Li 0.433 0.669 0.993
3 Ti 0.031 0.316 0.920
4 Ti 0.330 0.901 0.794
5 Ti 0.545 0.326 0.436
6 Ti 0.825 0.892 0.296
7 P 0.153 0.830 0.110
8 P 0.217 0.392 0.615
9 P 0.434 0.388 0.106
10 P 0.648 0.104 0.605
11 P 0.716 0.109 0.114
12 P 0.932 0.820 0.615
13 O 0.044 0.186 0.450
14 O 0.136 0.866 0.646
15 O 0.158 0.872 0.957
16 O 0.166 0.633 0.056
17 O 0.214 0.592 0.665
18 O 0.217 0.370 0.780
19 O 0.223 0.328 0.069
20 O 0.321 0.030 0.280
21 O 0.407 0.429 0.576
22 O 0.448 0.212 0.950
23 O 0.491 0.409 0.282
24 O 0.506 0.953 0.663
25 O 0.514 0.926 0.969
26 O 0.569 0.609 0.121
27 O 0.581 0.236 0.591
28 O 0.663 0.963 0.424
29 O 0.701 0.247 0.293
30 O 0.783 0.604 0.594
31 O 0.798 0.983 0.127
32 O 0.850 0.266 0.749
33 O 0.857 0.257 0.053
34 O 0.881 0.814 0.445
35 O 0.930 0.000 0.781
36 O 0.959 0.786 0.145

Results
V in Å³/cell: 451.2
DOS(E_F) in states/eV/atom: 0.000

***

Most stable structure: (ii)

***

(i)
Material: LiVPO5
Method: DFT, meta-GGA SCAN
State: single point on PBEsol structure

a b c (Å): 6.059 5.237 8.618
angles (deg): 90.00 134.40 90.00
Space group Pc (No. 7)
Asymmetric unit:
1 Li 0.000 0.055 0.000
2 V 0.615 0.243 0.137
3 P 0.116 0.485 0.640
4 O 0.258 0.314 0.834
5 O 0.346 0.327 0.179
6 O 0.641 0.063 0.661
7 O 0.863 0.334 0.080
8 O 0.974 0.306 0.447

Results
V in Å³/cell: 195.4
DOS(E_F) in states/eV/atom: 0.000

***

(ii)
Material: LiVPO5
Method: DFT, meta-GGA SCAN
State: single point on PBEsol structure

a b c (Å): 13.517 5.207 10.413
angles (deg): 90.00 114.76 90.00
Space group C2/c (No. 15)
Asymmetric unit:
1 Li 0.000 0.000 0.000
2 Li 0.250 0.250 0.000
3 V 0.000 0.016 0.250
4 V 0.250 0.250 0.500
5 P 0.124 0.489 0.688
6 O 0.053 0.269 0.152
7 O 0.054 0.243 0.663
8 O 0.127 0.056 0.408
9 O 0.182 0.480 0.588
10 O 0.207 0.498 0.845

Results
V in Å³/cell: 665.5
DOS(E_F) in states/eV/atom: 0.024

***

Most stable structure: (ii)